(1)
Compound: Cu6AsSe2
Source: Alexandria via LeMat-Bulk
Functional: GGA-PBE
Structure: relaxed

Unit cell a=7.752 b=7.752 c=8.061 alpha=119.20 beta=119.20 gamma=46.35
Sites, in units of the cell vectors:
Cu 0.055 0.729 0.106
Cu 0.135 0.803 0.879
Cu 0.197 0.865 0.621
Cu 0.271 0.945 0.394
Cu 0.350 0.402 0.388
Cu 0.402 0.350 0.888
Cu 0.598 0.650 0.112
Cu 0.650 0.598 0.612
Cu 0.729 0.055 0.606
Cu 0.803 0.135 0.379
Cu 0.865 0.197 0.121
Cu 0.945 0.271 0.894
As 0.500 0.500 0.250
As 0.500 0.500 0.750
Se 0.096 0.263 0.681
Se 0.263 0.096 0.181
Se 0.737 0.904 0.819
Se 0.904 0.737 0.319

**Uncorrected formation energy**: -17 meV per atom
**Spin magnetization**: 0.000 μB per cell
**SG**: No. 15

(2)
Compound: NpTcNiP2
Source: Alexandria via LeMat-Bulk
Functional: GGA-PBE
Structure: relaxed

Unit cell a=5.806 b=5.806 c=5.806 alpha=141.28 beta=141.28 gamma=55.91
Sites, in units of the cell vectors:
Np 0.000 0.000 0.000
Tc 0.750 0.250 0.500
Ni 0.250 0.750 0.500
P 0.380 0.380 0.000
P 0.620 0.620 0.000

**Spin magnetization**: 3.966 μB per cell
**Formation energy**: -0.645 eV/atom
**SG**: No. 119

(3)
Compound: Be2NbZnC
Source: Alexandria via LeMat-Bulk
Functional: GGA-PBE
Structure: relaxed

Unit cell a=4.597 b=4.597 c=4.073 alpha=90.00 beta=90.00 gamma=90.00
Sites, in units of the cell vectors:
Be 0.000 0.500 0.000
Be 0.500 0.000 0.000
Nb 0.000 0.000 0.000
Zn 0.500 0.500 0.500
C 0.000 0.000 0.500

**Spin magnetization**: 0.000 μB per cell
**Formation energy**: 1.578 eV/atom
**SG**: No. 123

Number 1: VASP energy -4.04 eV/atom. Number 2: VASP energy -8.63 eV/atom. Number 3: VASP energy -4.03 eV/atom.